K3Np3NbSe8 (PBE, relaxed); energy relative to the elements, uncorrected = -1.153 eV/atom; density of states at the Fermi level = 32.91 states/eV/cell; size of the total moment = 13.0 μB/f.u.
1.0
4.086 2.359 7.903
-4.086 2.359 7.903
0.000 -4.718 7.903
K Np Nb Se
3 3 1 8
Cartesian
-2.043 -1.179 7.903
-2.043 1.179 15.806
0.000 2.359 7.903
-4.086 0.000 11.855
-2.043 1.179 3.952
2.043 1.179 3.952
0.000 0.000 11.855
0.000 0.000 5.607
-1.942 -1.121 13.408
0.000 -2.242 10.301
-1.942 1.121 10.301
1.942 -1.121 13.408
0.000 2.242 13.408
1.942 1.121 10.301
0.000 0.000 18.103



K3Nb2O7 (PBE, relaxed); energy relative to the elements, uncorrected = -2.166 eV/atom; density of states at the Fermi level = 4.39 states/eV/cell; size of the total moment = 1.0 μB/f.u.
1.0
4.092 0.000 0.000
0.000 4.035 0.000
-1.989 0.000 11.552
K Nb O
3 2 7
Cartesian
0.000 0.000 0.000
0.051 0.000 4.208
2.052 0.000 7.344
-0.024 2.018 9.387
2.127 2.018 2.164
-0.011 2.018 2.044
0.060 2.018 7.514
0.082 0.000 9.530
2.046 2.018 0.000
2.021 0.000 2.022
2.043 2.018 4.038
2.114 2.018 9.508



KNb3O8 (PBE, relaxed); energy relative to the elements, uncorrected = -2.427 eV/atom; density of states at the Fermi level = 0.00 states/eV/cell; size of the total moment = 0.0 μB/f.u.
1.0
6.788 -1.924 0.000
6.788 1.924 0.000
-2.170 0.000 7.376
K Nb O
1 3 8
Cartesian
0.000 0.000 0.000
7.893 0.000 3.238
7.574 0.000 7.234
11.781 0.000 3.161
0.499 0.000 2.936
0.655 0.000 6.865
5.585 0.000 2.855
8.244 0.000 1.002
7.749 0.000 5.064
9.784 0.000 3.211
11.227 0.000 0.946
11.826 0.000 4.921



K2Nb3O9 (PBE, relaxed); energy relative to the elements, uncorrected = -2.266 eV/atom; density of states at the Fermi level = 1.44 states/eV/cell; size of the total moment = 1.0 μB/f.u.
1.0
4.724 -7.672 0.000
4.724 7.672 0.000
-4.273 0.000 7.955
K Nb O
4 6 18
Cartesian
0.901 5.285 5.497
4.273 5.285 2.459
0.901 -5.285 5.497
4.273 -5.285 2.459
-0.276 1.829 6.376
2.322 0.000 0.907
-0.276 -1.829 6.376
5.450 1.829 1.580
2.852 0.000 7.048
5.450 -1.829 1.580
-0.754 3.032 5.133
-1.908 1.386 7.418
0.722 0.000 1.712
-0.565 0.000 5.581
-1.908 -1.386 7.418
4.724 2.799 0.000
3.526 1.305 1.847
-0.754 -3.032 5.133
1.648 1.305 6.108
3.526 -1.305 1.847
5.928 3.032 2.823
1.648 -1.305 6.108
4.724 -2.799 0.000
7.083 1.386 0.538
5.739 0.000 2.374
4.452 0.000 6.243
7.083 -1.386 0.538
5.928 -3.032 2.823



KNb3O (PBE, relaxed); energy relative to the elements, uncorrected = 0.345 eV/atom; density of states at the Fermi level = 8.94 states/eV/cell; size of the total moment = 0.0 μB/f.u.
1.0
4.456 0.000 0.000
0.000 4.456 0.000
0.000 0.000 4.456
K Nb O
1 3 1
Cartesian
0.000 0.000 0.000
0.000 2.228 2.228
2.228 0.000 2.228
2.228 2.228 0.000
2.228 2.228 2.228



K2Nb2O5 (PBE, relaxed); energy relative to the elements, uncorrected = -2.143 eV/atom; density of states at the Fermi level = 5.01 states/eV/cell; size of the total moment = 0.7 μB/f.u.
1.0
4.106 -8.004 0.000
4.106 8.004 0.000
-4.031 0.000 4.192
K Nb O
4 4 10
Cartesian
4.106 5.859 0.000
4.209 2.315 0.270
4.209 -2.315 0.270
4.106 -5.859 0.000
-1.454 0.000 2.605
2.153 3.983 2.219
1.589 0.000 2.121
2.153 -3.983 2.219
2.104 3.931 0.115
0.086 3.975 2.233
2.153 6.241 2.038
1.626 0.000 0.122
2.143 1.860 2.290
0.282 0.000 3.577
2.104 -3.931 0.115
0.086 -3.975 2.233
2.143 -1.860 2.290
2.153 -6.241 2.038



KNb3O5 (PBE, relaxed); energy relative to the elements, uncorrected = -1.859 eV/atom; density of states at the Fermi level = 8.39 states/eV/cell; size of the total moment = 0.0 μB/f.u.
1.0
4.933 -3.069 0.000
4.933 3.069 0.000
-1.347 0.000 8.259
K Nb O
2 6 10
Cartesian
0.962 0.000 3.190
7.556 0.000 5.068
0.000 0.000 0.000
0.801 0.000 6.517
3.900 0.000 1.362
4.259 0.000 4.129
4.618 0.000 6.896
7.717 0.000 1.741
3.315 1.508 2.948
2.102 0.000 0.459
4.933 1.105 0.000
5.203 1.508 5.311
2.773 0.000 5.700
5.745 0.000 2.558
3.315 -1.508 2.948
4.933 -1.105 0.000
6.416 0.000 7.799
5.203 -1.508 5.311



K3Nb2O7 (PBE, relaxed); energy relative to the elements, uncorrected = -2.196 eV/atom; density of states at the Fermi level = 3.24 states/eV/cell; size of the total moment = 1.0 μB/f.u.
1.0
-2.032 2.032 11.040
2.032 -2.032 11.040
2.032 2.032 -11.040
K Nb O
3 2 7
Cartesian
0.000 0.000 0.000
0.000 0.000 4.225
0.000 0.000 17.855
0.000 0.000 8.882
0.000 0.000 13.199
2.032 0.000 2.027
0.000 0.000 7.003
2.032 0.000 9.013
0.000 0.000 11.040
0.000 2.032 2.027
0.000 0.000 15.077
0.000 2.032 9.013



KNb4O8 (PBE, relaxed); energy relative to the elements, uncorrected = -2.322 eV/atom; density of states at the Fermi level = 4.42 states/eV/cell; size of the total moment = 0.0 μB/f.u.
1.0
7.503 -1.517 0.000
7.503 1.517 0.000
-7.264 0.000 7.548
K Nb O
1 4 8
Cartesian
0.000 0.000 0.000
-3.724 0.000 6.432
1.574 0.000 3.646
6.169 0.000 3.902
11.466 0.000 1.117
-2.122 0.000 2.750
-0.187 0.000 4.857
2.947 0.000 2.272
5.184 0.000 0.303
2.559 0.000 7.245
4.795 0.000 5.276
7.929 0.000 2.691
9.865 0.000 4.799



K3Nb2O6 (PBE, relaxed); energy relative to the elements, uncorrected = -2.216 eV/atom; density of states at the Fermi level = 2.18 states/eV/cell; size of the total moment = 0.2 μB/f.u.
1.0
-1.996 1.996 11.358
1.996 -1.996 11.358
1.996 1.996 -11.358
K Nb O
3 2 6
Cartesian
0.000 0.000 0.000
0.000 0.000 4.338
0.000 0.000 18.379
0.000 0.000 8.984
0.000 0.000 13.732
1.996 0.000 1.973
0.000 0.000 7.132
1.996 0.000 9.386
0.000 1.996 1.973
0.000 0.000 15.585
0.000 1.996 9.386



KNb3O6 (PBE, relaxed); energy relative to the elements, uncorrected = -2.136 eV/atom; density of states at the Fermi level = 5.89 states/eV/cell; size of the total moment = 0.5 μB/f.u.
1.0
2.810 1.622 4.725
-2.810 1.622 4.725
0.000 -3.245 4.725
K Nb O
1 3 6
Cartesian
0.000 0.000 0.000
0.000 0.000 3.367
0.000 0.000 7.871
0.000 0.000 10.509
-1.050 -1.699 6.988
-1.577 0.540 9.251
-0.946 1.759 6.988
0.321 -1.636 9.251
1.996 -0.060 6.988
1.256 1.096 9.251



K2Nb2O7 (PBE, relaxed); energy relative to the elements, uncorrected = -1.917 eV/atom; density of states at the Fermi level = 4.94 states/eV/cell; size of the total moment = 1.2 μB/f.u.
1.0
3.278 -3.717 0.000
3.278 3.717 0.000
0.000 0.000 6.456
K Nb O
2 2 7
Cartesian
1.566 0.000 0.000
4.990 0.000 0.000
3.278 1.663 3.228
3.278 -1.663 3.228
0.000 0.000 3.228
1.639 1.858 1.952
1.639 1.858 4.504
1.639 -1.858 1.952
1.639 -1.858 4.504
3.278 0.000 2.013
3.278 0.000 4.443



Question: Among the records above, which one has the lowest energy relative to the elements, uncorrected?
Answer: KNb3O8



Repeat the sixth record exactly.
K2Nb2O5 (PBE, relaxed); energy relative to the elements, uncorrected = -2.143 eV/atom; density of states at the Fermi level = 5.01 states/eV/cell; size of the total moment = 0.7 μB/f.u.
1.0
4.106 -8.004 0.000
4.106 8.004 0.000
-4.031 0.000 4.192
K Nb O
4 4 10
Cartesian
4.106 5.859 0.000
4.209 2.315 0.270
4.209 -2.315 0.270
4.106 -5.859 0.000
-1.454 0.000 2.605
2.153 3.983 2.219
1.589 0.000 2.121
2.153 -3.983 2.219
2.104 3.931 0.115
0.086 3.975 2.233
2.153 6.241 2.038
1.626 0.000 0.122
2.143 1.860 2.290
0.282 0.000 3.577
2.104 -3.931 0.115
0.086 -3.975 2.233
2.143 -1.860 2.290
2.153 -6.241 2.038



Copy entry 11 word for word.
KNb3O6 (PBE, relaxed); energy relative to the elements, uncorrected = -2.136 eV/atom; density of states at the Fermi level = 5.89 states/eV/cell; size of the total moment = 0.5 μB/f.u.
1.0
2.810 1.622 4.725
-2.810 1.622 4.725
0.000 -3.245 4.725
K Nb O
1 3 6
Cartesian
0.000 0.000 0.000
0.000 0.000 3.367
0.000 0.000 7.871
0.000 0.000 10.509
-1.050 -1.699 6.988
-1.577 0.540 9.251
-0.946 1.759 6.988
0.321 -1.636 9.251
1.996 -0.060 6.988
1.256 1.096 9.251